Here is Eu3Y5O12 after structural relaxation from Alexandria via LeMat-Bulk. Energies are from PBE.

Results
E_form (uncorrected) = -3038 meV per atom
space-group type = Ia-3d
D(E_F) = 0.96 states/eV/atom
spin magnetization = 72.0 Bohr magnetons per cell
calculated total energy = -9.17 eV/atom

abc: 11.8482 11.8482 11.8482
angles: 109.47 109.47 109.47
Last column: nearest neighbours and their distance in Å.
Positions (direct):
Eu  0.2500  0.1250  0.3750  8 O 2.58-2.59
Eu  0.6250  0.2500  0.3750  8 O 2.58-2.59
Eu  0.3750  0.7500  0.6250  8 O 2.58-2.59
Eu  0.7500  0.3750  0.1250  8 O 2.58-2.59
Eu  0.1250  0.2500  0.8750  8 O 2.58-2.59
Eu  0.3750  0.6250  0.2500  8 O 2.58-2.59
Eu  0.6250  0.3750  0.7500  8 O 2.58-2.59
Eu  0.8750  0.1250  0.2500  8 O 2.58-2.59
Eu  0.7500  0.8750  0.6250  8 O 2.58-2.59
Eu  0.2500  0.6250  0.8750  8 O 2.58-2.59
Eu  0.8750  0.7500  0.1250  8 O 2.58-2.59
Eu  0.1250  0.8750  0.7500  8 O 2.58-2.59
O  0.3250  0.5415  0.4119  2 Y 2.12-2.28
O  0.2165  0.5415  0.6296  2 Y 2.12-2.28
O  0.7165  0.1296  0.0415  2 Y 2.12-2.28
O  0.0415  0.4119  0.8250  2 Y 2.12-2.28
O  0.6296  0.5881  0.9131  2 Y 2.12-2.28
O  0.0881  0.9131  0.1296  2 Y 2.12-2.28
O  0.5415  0.3250  0.9119  2 Y 2.12-2.28
O  0.1750  0.0881  0.9585  2 Y 2.12-2.28
O  0.2835  0.8704  0.9585  2 Y 2.12-2.28
O  0.1296  0.7165  0.5415  2 Y 2.12-2.28
O  0.4131  0.1296  0.5881  2 Y 2.12-2.28
O  0.1750  0.0869  0.7165  2 Y 2.12-2.28
O  0.4585  0.7835  0.8704  2 Y 2.12-2.28
O  0.5869  0.8704  0.4119  2 Y 2.12-2.28
O  0.3250  0.7835  0.4131  2 Y 2.12-2.28
O  0.0869  0.1750  0.2165  2 Y 2.12-2.28
O  0.2835  0.4131  0.8250  2 Y 2.12-2.28
O  0.4119  0.3704  0.5869  2 Y 2.12-2.28
O  0.6296  0.0415  0.2165  2 Y 2.12-2.28
O  0.9585  0.3704  0.2835  2 Y 2.12-2.28
O  0.8704  0.2835  0.4585  2 Y 2.12-2.28
O  0.8250  0.9131  0.2835  2 Y 2.12-2.28
O  0.3704  0.4119  0.0869  2 Y 2.12-2.28
O  0.5881  0.6296  0.4131  2 Y 2.12-2.28
O  0.0869  0.9119  0.3704  2 Y 2.12-2.28
O  0.8250  0.9119  0.0415  2 Y 2.12-2.28
O  0.7165  0.5869  0.1750  2 Y 2.12-2.28
O  0.4131  0.2835  0.3250  2 Y 2.12-2.28
O  0.7835  0.3250  0.9131  2 Y 2.12-2.28
O  0.3704  0.9585  0.7835  2 Y 2.12-2.28
O  0.4585  0.6750  0.0881  2 Y 2.12-2.28
O  0.0881  0.1750  0.4585  2 Y 2.12-2.28
O  0.9119  0.8250  0.5415  2 Y 2.12-2.28
O  0.8704  0.5869  0.9119  2 Y 2.12-2.28
O  0.7835  0.4585  0.3704  2 Y 2.12-2.28
O  0.2165  0.6750  0.0869  2 Y 2.12-2.28
O  0.1296  0.4131  0.0881  2 Y 2.12-2.28
O  0.9131  0.8250  0.7835  2 Y 2.12-2.28
O  0.9119  0.0869  0.8704  2 Y 2.12-2.28
O  0.9131  0.0881  0.6296  2 Y 2.12-2.28
O  0.5881  0.9585  0.6750  2 Y 2.12-2.28
O  0.6750  0.4585  0.5881  2 Y 2.12-2.28
O  0.5415  0.2165  0.1296  2 Y 2.12-2.28
O  0.4119  0.0415  0.3250  2 Y 2.12-2.28
O  0.9585  0.5881  0.1750  2 Y 2.12-2.28
O  0.6750  0.2165  0.5869  2 Y 2.12-2.28
O  0.5869  0.7165  0.6750  2 Y 2.12-2.28
O  0.0415  0.6296  0.7165  2 Y 2.12-2.28
Y  0.2500  0.8750  0.1250  4 O 2.12
Y  0.5000  0.0000  0.0000  6 O 2.28
Y  0.5000  0.5000  0.0000  6 O 2.28
Y  0.7500  0.6250  0.3750  4 O 2.12
Y  0.0000  0.0000  0.0000  6 O 2.28
Y  0.2500  0.3750  0.6250  4 O 2.12
Y  0.0000  0.5000  0.0000  6 O 2.28
Y  0.1250  0.7500  0.3750  4 O 2.12
Y  0.6250  0.7500  0.8750  4 O 2.12
Y  0.3750  0.2500  0.1250  4 O 2.12
Y  0.5000  0.0000  0.5000  6 O 2.28
Y  0.6250  0.8750  0.2500  4 O 2.12
Y  0.8750  0.2500  0.6250  4 O 2.12
Y  0.8750  0.6250  0.7500  4 O 2.12
Y  0.7500  0.1250  0.8750  4 O 2.12
Y  0.0000  0.5000  0.5000  6 O 2.28
Y  0.1250  0.3750  0.2500  4 O 2.12
Y  0.3750  0.1250  0.7500  4 O 2.12
Y  0.0000  0.0000  0.5000  6 O 2.28
Y  0.5000  0.5000  0.5000  6 O 2.28

Here is TlHg3N after structural relaxation from Alexandria via LeMat-Bulk. Energies are from PBE.

Results
E_form (uncorrected) = 729 meV per atom
space-group type = Pm-3m
D(E_F) = 0.63 states/eV/atom
spin magnetization = 0.0 Bohr magnetons per cell
calculated total energy = -1.59 eV/atom
polymorph energy (0 for the lowest one) = 1.19 eV per formula unit

abc: 4.9333 4.9333 4.9333
angles: 90.00 90.00 90.00
Last column: nearest neighbours and their distance in Å.
Positions (direct):
Hg  0.0000  0.5000  0.0000  2 N 2.47
Hg  0.5000  0.0000  0.0000  2 N 2.47
Hg  0.0000  0.0000  0.5000  2 N 2.47
Tl  0.5000  0.5000  0.5000  12 Hg 3.49
N  0.0000  0.0000  0.0000  6 Hg 2.47

Here is NiTe5 after structural relaxation from Alexandria via LeMat-Bulk. Energies are from PBE.

Results
E_form (uncorrected) = -29 meV per atom
space-group type = Cmmm
D(E_F) = 0.50 states/eV/atom
spin magnetization = 0.0 Bohr magnetons per cell
calculated total energy = -3.61 eV/atom
polymorph energy (0 for the lowest one) = 0.00 eV per formula unit

abc: 7.7534 7.7534 6.0651
angles: 90.00 90.00 150.13
Last column: nearest neighbours and their distance in Å.
Positions (direct):
Ni  0.0555  0.9445  0.0000  4 Te 2.61
Te  0.0556  0.9444  0.5000  4 Te 3.00, 2 Ni 3.03
Te  0.4065  0.5935  0.5000  4 Te 3.00-3.08
Te  0.4436  0.5564  0.0000  2 Ni 2.61
Te  0.7046  0.2954  0.5000  4 Te 3.00-3.08
Te  0.6674  0.3326  0.0000  2 Ni 2.61